No. 1
Here is a geometry-optimized Pm12Ga2Ge5 structure from the Alexandria database. Energies are from PBE-GGA.

Lattice parameters (Å, degrees): 9.329 9.329 9.611 103.40 103.40 45.57
Sites, in units of the cell vectors:
Pm (0.006, 0.006, 0.284)
Pm (0.068, 0.586, 0.901)
Pm (0.104, 0.594, 0.435)
Pm (0.406, 0.896, 0.565)
Pm (0.414, 0.932, 0.099)
Pm (0.474, 0.474, 0.185)
Pm (0.526, 0.526, 0.815)
Pm (0.586, 0.068, 0.901)
Pm (0.594, 0.104, 0.435)
Pm (0.896, 0.406, 0.565)
Pm (0.932, 0.414, 0.099)
Pm (0.994, 0.994, 0.716)
Ga (0.179, 0.821, 0.000)
Ga (0.821, 0.179, 0.000)
Ge (0.178, 0.178, 0.825)
Ge (0.198, 0.198, 0.360)
Ge (0.500, 0.500, 0.500)
Ge (0.802, 0.802, 0.640)
Ge (0.822, 0.822, 0.175)

Output
The space-group type is No. 12. As for the total magnetization: 0.0 μB per formula unit. Its crystal system is monoclinic. Its density of states at the Fermi level is 21.9 states/eV per cell. For the density, the calculation gives 6.442 g/cm3. The value obtained for the formation enthalpy at 0 K is -10.4 kcal/mol of atoms.

No. 2
Here is a geometry-optimized Ac3Ge2Au3 structure from the Alexandria database. Energies are from PBE-GGA.

Lattice parameters (Å, degrees): 6.298 6.298 16.620 90.00 90.00 137.76
Sites, in units of the cell vectors:
Ac (0.098, 0.902, 0.750)
Ac (0.378, 0.622, 0.591)
Ac (0.378, 0.622, 0.909)
Ac (0.622, 0.378, 0.091)
Ac (0.622, 0.378, 0.409)
Ac (0.902, 0.098, 0.250)
Ge (0.325, 0.675, 0.113)
Ge (0.325, 0.675, 0.387)
Ge (0.675, 0.325, 0.613)
Ge (0.675, 0.325, 0.887)
Au (0.091, 0.909, 0.555)
Au (0.091, 0.909, 0.945)
Au (0.178, 0.822, 0.250)
Au (0.822, 0.178, 0.750)
Au (0.909, 0.091, 0.055)
Au (0.909, 0.091, 0.445)

Output
The space-group type is No. 63. As for the total magnetization: 0.0 μB per formula unit. Its crystal system is orthorhombic. Its density of states at the Fermi level is 7.6 states/eV per cell. For the density, the calculation gives 10.620 g/cm3. The value obtained for the formation enthalpy at 0 K is -18.1 kcal/mol of atoms.